First-principles (GGA-PBEsol) data for an optimized crystal structure of KSc2Mo, as listed in Alexandria.

Unit cell a=8.942 b=8.942 c=8.942 alpha=160.30 beta=150.04 gamma=36.11
Element x y z (fractional)
K (0.000, 0.000, 0.000)
Sc (0.318, 0.318, 0.000)
Sc (0.694, 0.194, 0.500)
Mo (0.189, 0.689, 0.500)

Results
Symmetry = Imm2, No. 44
Distance to the lowest polymorph of the same formula = 0.00 kJ/mol of atoms

=====

First-principles (GGA-PBEsol) data for an optimized crystal structure of K2ScMo, as listed in Alexandria.

Unit cell a=4.873 b=4.873 c=10.061 alpha=92.03 beta=92.03 gamma=35.39
Element x y z (fractional)
K (0.000, 0.000, 0.000)
K (0.239, 0.239, 0.601)
Sc (0.761, 0.761, 0.273)
Mo (0.494, 0.494, 0.332)

Results
Symmetry = Cm, No. 8
Distance to the lowest polymorph of the same formula = 3.19 kJ/mol of atoms

=====

First-principles (GGA-PBEsol) data for an optimized crystal structure of K2ScMo, as listed in Alexandria.

Unit cell a=4.160 b=4.160 c=6.300 alpha=90.00 beta=90.00 gamma=90.00
Element x y z (fractional)
K (0.000, 0.500, 0.000)
K (0.500, 0.000, 0.000)
Sc (0.000, 0.000, 0.500)
Mo (0.500, 0.500, 0.500)

Results
Symmetry = P4/mmm, No. 123
Distance to the lowest polymorph of the same formula = 41.83 kJ/mol of atoms

=====

First-principles (GGA-PBEsol) data for an optimized crystal structure of KSc2Mo, as listed in Alexandria.

Unit cell a=4.972 b=4.972 c=4.972 alpha=60.00 beta=60.00 gamma=60.00
Element x y z (fractional)
K (0.000, 0.000, 0.000)
Sc (0.250, 0.250, 0.250)
Sc (0.750, 0.750, 0.750)
Mo (0.500, 0.500, 0.500)

Results
Symmetry = Fm-3m, No. 225
Distance to the lowest polymorph of the same formula = 21.26 kJ/mol of atoms

=====

Result set for formation enthalpy at 0 K: 0.70 0.94 1.34 0.92 eV/atom, one per record in the order listed.
Result set for total magnetic moment: 0.0002 0.0972 0.4328 0.0638 μB per atom, one per record in the order listed.